# FeB2Os

A relaxed FeB2Os crystal (PBE-GGA, Alexandria via LeMat-Bulk).

Calculated values
**Formation energy from the elements**: 669 meV per atom

The structure in CIF format:
```
data_FeB2Os
_symmetry_space_group_name_H-M 'P 1'
_symmetry_Int_Tables_number 1
_cell_length_a 5.727
_cell_length_b 5.727
_cell_length_c 5.727
_cell_angle_alpha 133.03
_cell_angle_beta 133.03
_cell_angle_gamma 68.61
loop_
_symmetry_equiv_pos_as_xyz
'x,y,z'
loop_
_atom_site_label
_atom_site_type_symbol
_atom_site_fract_x
_atom_site_fract_y
_atom_site_fract_z
Fe1 Fe 0.000 0.000 0.000
Fe2 Fe 0.750 0.250 0.500
B1 B 0.119 0.625 0.994
B2 B 0.375 0.369 0.494
B3 B 0.631 0.125 0.006
B4 B 0.875 0.881 0.506
Os1 Os 0.250 0.750 0.500
Os2 Os 0.500 0.500 0.000
```